Computed, not measured: crystalline Pr8SiIr3I4 at its relaxed geometry at the PBE-GGA level of DFT.

The structure in CIF format:
```
data_Pr8SiIr3I4
_space_group_name_H-M_alt 'R -3 m'
_space_group_IT_number 166
_space_group_name_Hall '-R 3 2"'
_cell_length_a 8.5950
_cell_length_b 8.5950
_cell_length_c 24.2644
_cell_angle_alpha 90.00
_cell_angle_beta 90.00
_cell_angle_gamma 120.00
loop_
_atom_site_label
_atom_site_fract_x
_atom_site_fract_y
_atom_site_fract_z
Pr1 0.0000 0.0000 0.2294
Pr2 0.0113 0.5056 0.7713
Si1 0.0000 0.0000 0.5000
Ir1 0.0000 0.5000 0.5000
I1 0.0000 0.0000 0.0000
I2 0.0000 0.5000 0.0000
```

Computed, not measured: crystalline YTe at its relaxed geometry at the PBE-GGA level of DFT.

The structure in CIF format:
```
data_YTe
_space_group_name_H-M_alt 'C 1 m 1'
_space_group_IT_number 8
_cell_length_a 11.283
_cell_length_b 3.992
_cell_length_c 8.048
_cell_angle_alpha 90.00
_cell_angle_beta 109.22
_cell_angle_gamma 90.00
loop_
_space_group_symop_operation_xyz
'x,y,z'
'x,-y,z'
'x+1/2,y+1/2,z'
'x+1/2,-y+1/2,z'
loop_
_atom_site_label
_atom_site_fract_x
_atom_site_fract_y
_atom_site_fract_z
Y1 0.000 0.000 0.000
Y2 0.096 0.000 0.605
Y3 0.274 0.500 0.332
Te1 0.200 0.500 0.932
Te2 0.379 0.000 0.663
Te3 0.486 0.000 0.287
```

Computed, not measured: crystalline CaCoBrCl2 at its relaxed geometry at the PBE-GGA level of DFT.

The structure in CIF format:
```
data_CaCoBrCl2
_space_group_name_H-M_alt 'P 4/m m m'
_space_group_IT_number 123
_space_group_name_Hall '-P 4 2'
_cell_length_a 6.105
_cell_length_b 6.105
_cell_length_c 4.295
_cell_angle_alpha 90.00
_cell_angle_beta 90.00
_cell_angle_gamma 90.00
loop_
_atom_site_label
_atom_site_fract_x
_atom_site_fract_y
_atom_site_fract_z
Ca1 0.000 0.000 0.000
Co1 0.500 0.500 0.000
Br1 0.500 0.500 0.500
Cl1 0.000 0.500 0.500
```

no.,uncorrected formation energy (eV per atom)
1,-0.911
2,-1.239
3,-0.173